# 1
Compound: Li6AlF12
Source: the Alexandria database
Functional: GGA-PBE
Structure: relaxed

Results
Magnetization: 0.16 μB per atom
Symmetry: R-3
DFT total energy: -4.55 eV/atom

POSCAR file:
```
Li6AlF12
1.0
4.249 2.453 3.280
-4.249 2.453 3.280
0.000 -4.906 3.280
Li Al F
6 1 12
Cartesian
-2.315 -1.949 4.549
-2.845 1.031 5.291
0.530 -2.979 5.291
-0.530 2.979 4.549
2.845 -1.031 4.549
2.315 1.949 5.291
0.000 0.000 4.920
-3.870 -0.825 5.350
-1.221 -3.764 4.491
-1.503 -0.226 3.915
-2.649 2.940 4.491
0.947 -1.188 3.915
-0.555 -1.414 5.926
0.555 1.414 3.915
-0.947 1.188 5.926
2.649 -2.940 5.350
1.503 0.226 5.926
1.221 3.764 5.350
3.870 0.825 4.491
```

# 2
Compound: Li5Al2F12
Source: the Alexandria database
Functional: GGA-PBE
Structure: relaxed

Results
Magnetization: 0.05 μB per atom
Symmetry: C2/m
DFT total energy: -5.06 eV/atom

POSCAR file:
```
Li5Al2F12
1.0
4.923 -2.818 0.000
4.923 2.818 0.000
-1.723 0.000 7.369
Li Al F
5 2 12
Cartesian
0.000 0.000 0.000
1.562 0.000 5.724
2.713 0.000 1.026
5.410 0.000 6.343
6.561 0.000 1.645
4.061 1.430 3.684
4.061 -1.430 3.684
-0.058 0.000 2.756
2.746 1.399 2.504
1.917 1.377 7.151
6.206 1.377 0.218
5.376 1.399 4.864
3.253 0.000 4.613
4.870 0.000 2.756
2.746 -1.399 2.504
1.917 -1.377 7.151
6.206 -1.377 0.218
5.376 -1.399 4.864
8.180 0.000 4.613
```

# 3
Compound: LiAlF2
Source: the Alexandria database
Functional: GGA-PBE
Structure: relaxed

Results
Magnetization: 0.00 μB per atom
Symmetry: I-42d
Relative energy among the computed polymorphs: 499 meV/atom
DFT total energy: -4.36 eV/atom

POSCAR file:
```
LiAlF2
1.0
-2.549 2.549 4.489
2.549 -2.549 4.489
2.549 2.549 -4.489
Li Al F
2 2 4
Cartesian
0.000 0.000 0.000
0.000 2.549 2.245
2.549 0.000 2.245
0.000 0.000 4.489
3.823 0.871 -1.122
0.871 1.274 1.122
-1.274 1.678 3.367
1.678 1.274 5.611
```

# 4
Compound: LiAl3F
Source: the Alexandria database
Functional: GGA-PBE
Structure: relaxed

Results
Magnetization: 0.00 μB per atom
Symmetry: Pm-3m
Relative energy among the computed polymorphs: 310 meV/atom
DFT total energy: -2.91 eV/atom

POSCAR file:
```
LiAl3F
1.0
4.475 0.000 0.000
0.000 4.475 0.000
0.000 0.000 4.475
Li Al F
1 3 1
Cartesian
0.000 0.000 0.000
0.000 0.000 2.238
0.000 2.238 0.000
2.238 0.000 0.000
2.238 2.238 2.238
```

# 5
Compound: Li3AlF
Source: the Alexandria database
Functional: GGA-PBE
Structure: relaxed

Results
Magnetization: 0.00 μB per atom
Symmetry: Pm-3m
Relative energy among the computed polymorphs: 0 meV/atom
DFT total energy: -3.32 eV/atom

POSCAR file:
```
Li3AlF
1.0
4.110 0.000 0.000
0.000 4.110 0.000
0.000 0.000 4.110
Li Al F
3 1 1
Cartesian
0.000 0.000 2.055
0.000 2.055 0.000
2.055 0.000 0.000
2.055 2.055 2.055
0.000 0.000 0.000
```

# 6
Compound: LiAl4F12
Source: the Alexandria database
Functional: GGA-PBE
Structure: relaxed

Results
Magnetization: 0.00 μB per atom
Symmetry: Immm
DFT total energy: -5.54 eV/atom

POSCAR file:
```
LiAl4F12
1.0
-3.628 3.661 3.692
3.628 -3.661 3.692
3.628 3.661 -3.692
Li Al F
1 4 12
Cartesian
0.000 0.000 0.000
1.814 1.830 -1.846
1.814 -1.830 1.846
-1.814 1.830 1.846
1.814 1.830 1.846
3.628 1.592 -1.565
1.446 1.522 0.000
2.182 -2.139 3.692
2.044 3.661 -1.583
1.584 0.000 2.109
3.628 1.592 1.565
0.000 2.069 2.127
2.044 3.661 1.583
1.584 0.000 5.276
1.446 5.799 0.000
2.182 2.139 3.692
0.000 2.069 5.258
```

# 7
Compound: Li2MgAlF8
Source: the Alexandria database
Functional: GGA-PBE
Structure: relaxed

Results
Magnetization: 0.09 μB per atom
Symmetry: I-4m2
DFT total energy: -4.90 eV/atom

POSCAR file:
```
Li2MgAlF8
1.0
-3.174 3.174 3.389
3.174 -3.174 3.389
3.174 3.174 -3.389
Li Mg Al F
2 1 1 8
Cartesian
0.000 0.000 0.000
0.000 3.174 1.695
0.000 0.000 3.389
3.174 0.000 1.695
3.174 -1.720 2.164
3.174 1.280 -0.353
1.454 0.000 1.225
4.894 0.000 1.225
1.280 3.174 0.353
1.895 0.000 3.742
3.174 1.720 2.164
0.000 1.895 3.037
```

Quick rundown of V, same order as above: 205.1, 204.4, 116.7, 89.6, 69.4, 196.2, 136.6 Å³/cell